# 1
Compound: HfMnP3
Source: the Alexandria database
Functional: PBE
Structure: optimized geometry

Output
DFT formation energy   107.44 kJ/mol of atoms
ΔE to the lowest computed polymorph   855.9 meV/atom

```
data_HfMnP3
_chemical_formula_sum 'Hf1 Mn1 P3'
_space_group_name_H-M_alt 'P m -3 m'
_space_group_IT_number 221
_space_group_name_Hall '-P 4 2 3'
_cell_length_a 4.914
_cell_length_b 4.914
_cell_length_c 4.914
_cell_angle_alpha 90.00
_cell_angle_beta 90.00
_cell_angle_gamma 90.00
loop_
_atom_site_label
_atom_site_type_symbol
_atom_site_fract_x
_atom_site_fract_y
_atom_site_fract_z
_atom_site_occupancy
Hf1 Hf 0.000 0.000 0.000 1
Mn1 Mn 0.500 0.500 0.500 1
P1 P 0.000 0.000 0.500 1
```


# 2
Compound: Be2V2GaNi5
Source: the Alexandria database
Functional: PBE
Structure: optimized geometry

Output
DFT formation energy   -21.78 kJ/mol of atoms

```
data_Be2V2GaNi5
_chemical_formula_sum 'Be4 V4 Ga2 Ni10'
_space_group_name_H-M_alt 'P 4/m b m'
_space_group_IT_number 127
_space_group_name_Hall '-P 4 2ab'
_cell_length_a 8.506
_cell_length_b 8.506
_cell_length_c 3.095
_cell_angle_alpha 90.00
_cell_angle_beta 90.00
_cell_angle_gamma 90.00
loop_
_atom_site_label
_atom_site_type_symbol
_atom_site_fract_x
_atom_site_fract_y
_atom_site_fract_z
_atom_site_occupancy
Be1 Be 0.120 0.380 0.000 1
V1 V 0.176 0.676 0.000 1
Ga1 Ga 0.000 0.000 0.000 1
Ni1 Ni 0.000 0.500 0.500 1
Ni2 Ni 0.068 0.212 0.500 1
```


Which of these has the lowest DFT formation energy? Be2V2GaNi5


Which of these has the highest DFT formation energy? HfMnP3


Repeat the first record exactly.
Compound: HfMnP3
Source: the Alexandria database
Functional: PBE
Structure: optimized geometry

Output
DFT formation energy   107.44 kJ/mol of atoms
ΔE to the lowest computed polymorph   855.9 meV/atom

```
data_HfMnP3
_chemical_formula_sum 'Hf1 Mn1 P3'
_space_group_name_H-M_alt 'P m -3 m'
_space_group_IT_number 221
_space_group_name_Hall '-P 4 2 3'
_cell_length_a 4.914
_cell_length_b 4.914
_cell_length_c 4.914
_cell_angle_alpha 90.00
_cell_angle_beta 90.00
_cell_angle_gamma 90.00
loop_
_atom_site_label
_atom_site_type_symbol
_atom_site_fract_x
_atom_site_fract_y
_atom_site_fract_z
_atom_site_occupancy
Hf1 Hf 0.000 0.000 0.000 1
Mn1 Mn 0.500 0.500 0.500 1
P1 P 0.000 0.000 0.500 1
```


DFT formation energy of number 1 (HfMnP3)? 107.44 kJ/mol of atoms